# 1
Computed, not measured: PuThSc6 after structural relaxation at the PBE-GGA level of DFT.

Values from the calculation:
Formation enthalpy at 0 K (kJ per mole of atoms): 6.5
Relative energy among the computed polymorphs (kJ/mol of formula units): 0

```
data_PuThSc6
_chemical_formula_sum 'Pu2 Th2 Sc12'
_cell_length_a 9.3493
_cell_length_b 9.3827
_cell_length_c 4.6509
_cell_angle_alpha 90.00
_cell_angle_beta 90.00
_cell_angle_gamma 90.00
_space_group_name_H-M_alt 'C m m m'
_space_group_IT_number 65
_space_group_name_Hall '-C 2 2'
loop_
_atom_site_label
_atom_site_fract_x
_atom_site_fract_y
_atom_site_fract_z
Pu1 0.0000 0.0000 0.0000
Th1 0.0000 0.5000 0.0000
Sc1 0.0000 0.2473 0.5000
Sc2 0.2468 0.0000 0.5000
Sc3 0.2500 0.2500 0.0000
```

***

# 2
Computed, not measured: Pu2Th2Sc7 after structural relaxation at the PBE-GGA level of DFT.

Values from the calculation:
Formation enthalpy at 0 K (kJ per mole of atoms): 17.0
Relative energy among the computed polymorphs (kJ/mol of formula units): 7

```
data_Pu2Th2Sc7
_chemical_formula_sum 'Pu4 Th4 Sc14'
_cell_length_a 10.4342
_cell_length_b 10.6097
_cell_length_c 5.5965
_cell_angle_alpha 90.00
_cell_angle_beta 111.57
_cell_angle_gamma 90.00
_space_group_name_H-M_alt 'C 1 2/m 1'
_space_group_IT_number 12
_space_group_name_Hall '-C 2y'
loop_
_atom_site_label
_atom_site_fract_x
_atom_site_fract_y
_atom_site_fract_z
Pu1 0.0000 0.2425 0.0000
Th1 0.1044 0.5000 0.2991
Sc1 0.0000 0.0000 0.5000
Sc2 0.1707 0.2413 0.6751
Sc3 0.1942 0.0000 0.0839
```

***

# 3
Computed, not measured: PuThSc6 after structural relaxation at the PBE-GGA level of DFT.

Values from the calculation:
Formation enthalpy at 0 K (kJ per mole of atoms): 11.7
Relative energy among the computed polymorphs (kJ/mol of formula units): 42

```
data_PuThSc6
_chemical_formula_sum 'Pu2 Th2 Sc12'
_cell_length_a 8.0625
_cell_length_b 8.5685
_cell_length_c 6.0304
_cell_angle_alpha 90.00
_cell_angle_beta 97.85
_cell_angle_gamma 90.00
_space_group_name_H-M_alt 'C 1 2/m 1'
_space_group_IT_number 12
_space_group_name_Hall '-C 2y'
loop_
_atom_site_label
_atom_site_fract_x
_atom_site_fract_y
_atom_site_fract_z
Pu1 0.0000 0.0000 0.0000
Th1 0.0000 0.0000 0.5000
Sc1 0.1501 0.5000 0.7084
Sc2 0.1641 0.3161 0.2053
```

***

# 4
Computed, not measured: PuThSc4 after structural relaxation at the PBE-GGA level of DFT.

Values from the calculation:
Formation enthalpy at 0 K (kJ per mole of atoms): 6.5
Relative energy among the computed polymorphs (kJ/mol of formula units): 0

```
data_PuThSc4
_chemical_formula_sum 'Pu1 Th1 Sc4'
_cell_length_a 3.3345
_cell_length_b 6.6343
_cell_length_c 7.4250
_cell_angle_alpha 102.88
_cell_angle_beta 102.97
_cell_angle_gamma 90.07
_space_group_name_H-M_alt 'P -1'
_space_group_IT_number 2
_space_group_name_Hall '-P 1'
loop_
_atom_site_label
_atom_site_fract_x
_atom_site_fract_y
_atom_site_fract_z
Pu1 0.0000 0.0000 0.0000
Th1 0.0000 0.5000 0.0000
Sc1 0.3332 0.6696 0.6652
Sc2 0.3338 0.1635 0.6685
```

***

# 5
Computed, not measured: Pu2ThSc4 after structural relaxation at the PBE-GGA level of DFT.

Values from the calculation:
Formation enthalpy at 0 K (kJ per mole of atoms): 21.9
Relative energy among the computed polymorphs (kJ/mol of formula units): 62

```
data_Pu2ThSc4
_chemical_formula_sum 'Pu2 Th1 Sc4'
_cell_length_a 5.8511
_cell_length_b 6.1146
_cell_length_c 6.3309
_cell_angle_alpha 79.50
_cell_angle_beta 62.52
_cell_angle_gamma 66.55
_space_group_name_H-M_alt 'P -1'
_space_group_IT_number 2
_space_group_name_Hall '-P 1'
loop_
_atom_site_label
_atom_site_fract_x
_atom_site_fract_y
_atom_site_fract_z
Pu1 0.2336 0.0003 0.0328
Th1 0.0000 0.5000 0.5000
Sc1 0.3073 0.8890 0.5002
Sc2 0.3092 0.5002 0.8814
```

***

# 6
Computed, not measured: Pu4ThSc after structural relaxation at the PBE-GGA level of DFT.

Values from the calculation:
Formation enthalpy at 0 K (kJ per mole of atoms): 22.9

```
data_Pu4ThSc
_chemical_formula_sum 'Pu16 Th4 Sc4'
_cell_length_a 8.5893
_cell_length_b 8.5893
_cell_length_c 8.5893
_cell_angle_alpha 90.00
_cell_angle_beta 90.00
_cell_angle_gamma 90.00
_space_group_name_H-M_alt 'F -4 3 m'
_space_group_IT_number 216
_space_group_name_Hall 'F -4 2 3'
loop_
_atom_site_label
_atom_site_fract_x
_atom_site_fract_y
_atom_site_fract_z
Pu1 0.1252 0.1252 0.1252
Th1 0.2500 0.2500 0.7500
Sc1 0.0000 0.0000 0.5000
```

***

# 7
Computed, not measured: TmPuThSc after structural relaxation at the PBE-GGA level of DFT.

Values from the calculation:
Formation enthalpy at 0 K (kJ per mole of atoms): 16.6

```
data_TmPuThSc
_chemical_formula_sum 'Tm4 Pu4 Th4 Sc4'
_cell_length_a 7.6702
_cell_length_b 7.6702
_cell_length_c 7.6702
_cell_angle_alpha 90.00
_cell_angle_beta 90.00
_cell_angle_gamma 90.00
_space_group_name_H-M_alt 'F -4 3 m'
_space_group_IT_number 216
_space_group_name_Hall 'F -4 2 3'
loop_
_atom_site_label
_atom_site_fract_x
_atom_site_fract_y
_atom_site_fract_z
Tm1 0.0000 0.0000 0.0000
Pu1 0.2500 0.2500 0.7500
Th1 0.0000 0.0000 0.5000
Sc1 0.2500 0.2500 0.2500
```

***

# 8
Computed, not measured: PuThZrSc after structural relaxation at the PBE-GGA level of DFT.

Values from the calculation:
Formation enthalpy at 0 K (kJ per mole of atoms): 17.7

```
data_PuThZrSc
_chemical_formula_sum 'Pu4 Th4 Zr4 Sc4'
_cell_length_a 7.4507
_cell_length_b 7.4507
_cell_length_c 7.4507
_cell_angle_alpha 90.00
_cell_angle_beta 90.00
_cell_angle_gamma 90.00
_space_group_name_H-M_alt 'F -4 3 m'
_space_group_IT_number 216
_space_group_name_Hall 'F -4 2 3'
loop_
_atom_site_label
_atom_site_fract_x
_atom_site_fract_y
_atom_site_fract_z
Pu1 0.0000 0.0000 0.0000
Th1 0.2500 0.2500 0.7500
Zr1 0.2500 0.2500 0.2500
Sc1 0.0000 0.0000 0.5000
```